# 1
A relaxed structure of MnInW2. Source: the Alexandria database, functional PBE. Values from VASP.

The formation energy comes out at 0.496 eV per atom.

Structure (Quantum ESPRESSO input):
```
&SYSTEM
  ibrav = 0, nat = 4, ntyp = 3
/
ATOMIC_SPECIES
Mn 54.94 Mn.upf
In 114.82 In.upf
W 183.84 W.upf
CELL_PARAMETERS angstrom
1.466 0.846 9.020
-1.466 0.846 9.020
0.000 -1.692 9.020
ATOMIC_POSITIONS crystal
Mn 0.000 0.000 0.000
In 0.247 0.247 0.247
W 0.489 0.489 0.489
W 0.737 0.737 0.737
```

=====

# 2
A relaxed structure of LaCeC4. Source: the Alexandria database, functional PBE. Values from VASP.

The formation energy comes out at -0.135 eV per atom.

Structure (Quantum ESPRESSO input):
```
&SYSTEM
  ibrav = 0, nat = 6, ntyp = 3
/
ATOMIC_SPECIES
La 138.91 La.upf
Ce 140.12 Ce.upf
C 12.01 C.upf
CELL_PARAMETERS angstrom
2.736 -3.233 0.000
2.736 3.233 0.000
0.000 0.000 5.477
ATOMIC_POSITIONS crystal
La 0.000 0.000 0.000
Ce 0.500 0.500 0.500
C 0.101 0.899 0.500
C 0.400 0.600 0.000
C 0.600 0.400 0.000
C 0.899 0.101 0.500
```

=====

# 3
A relaxed structure of Si3NiI. Source: the Alexandria database, functional PBE. Values from VASP.

The calculation puts the uncorrected formation energy at 0.472 eV/atom.

Structure (Quantum ESPRESSO input):
```
&SYSTEM
  ibrav = 0, nat = 5, ntyp = 3
/
ATOMIC_SPECIES
Si 28.09 Si.upf
Ni 58.69 Ni.upf
I 126.90 I.upf
CELL_PARAMETERS angstrom
4.590 0.000 0.000
0.000 4.590 0.000
0.000 0.000 4.590
ATOMIC_POSITIONS crystal
Si 0.000 0.000 0.500
Si 0.000 0.500 0.000
Si 0.500 0.000 0.000
Ni 0.000 0.000 0.000
I 0.500 0.500 0.500
```

=====

# 4
A relaxed structure of Pm2HfAl. Source: the Alexandria database, functional PBE. Values from VASP.

The formation energy comes out at 0.329 eV per atom.

Structure (Quantum ESPRESSO input):
```
&SYSTEM
  ibrav = 0, nat = 4, ntyp = 3
/
ATOMIC_SPECIES
Pm 145.00 Pm.upf
Hf 178.49 Hf.upf
Al 26.98 Al.upf
CELL_PARAMETERS angstrom
1.640 0.947 11.599
-1.640 0.947 11.599
0.000 -1.893 11.599
ATOMIC_POSITIONS crystal
Pm 0.094 0.094 0.094
Pm 0.906 0.906 0.906
Hf 0.000 0.000 0.000
Al 0.500 0.500 0.500
```

=====

# 5
A relaxed structure of CsKBiAu. Source: the Alexandria database, functional PBE. Values from VASP.

The formation energy comes out at -0.329 eV per atom.

Structure (Quantum ESPRESSO input):
```
&SYSTEM
  ibrav = 0, nat = 4, ntyp = 4
/
ATOMIC_SPECIES
Cs 132.91 Cs.upf
K 39.10 K.upf
Bi 208.98 Bi.upf
Au 196.97 Au.upf
CELL_PARAMETERS angstrom
6.126 -2.574 0.000
6.126 2.574 0.000
-0.152 0.000 7.051
ATOMIC_POSITIONS crystal
Cs 0.000 0.000 0.000
K 0.750 0.750 0.500
Bi 0.461 0.461 0.487
Au 0.043 0.043 0.503
```

=====

# 6
A relaxed structure of InSiNi2. Source: the Alexandria database, functional PBE. Values from VASP.

The calculation puts the uncorrected formation energy at -0.140 eV/atom.

Structure (Quantum ESPRESSO input):
```
&SYSTEM
  ibrav = 0, nat = 4, ntyp = 3
/
ATOMIC_SPECIES
In 114.82 In.upf
Si 28.09 Si.upf
Ni 58.69 Ni.upf
CELL_PARAMETERS angstrom
3.606 -1.376 0.000
3.606 1.376 0.000
-1.926 0.000 6.186
ATOMIC_POSITIONS crystal
In 0.000 0.000 0.000
Si 0.500 0.500 0.500
Ni 0.259 0.259 0.674
Ni 0.741 0.741 0.326
```

=====

# 7
A relaxed structure of CaScCo2. Source: the Alexandria database, functional PBE. Values from VASP.

The formation energy comes out at 0.396 eV per atom.

Structure (Quantum ESPRESSO input):
```
&SYSTEM
  ibrav = 0, nat = 4, ntyp = 3
/
ATOMIC_SPECIES
Ca 40.08 Ca.upf
Sc 44.96 Sc.upf
Co 58.93 Co.upf
CELL_PARAMETERS angstrom
0.000 3.222 3.222
3.222 0.000 3.222
3.222 3.222 0.000
ATOMIC_POSITIONS crystal
Ca 0.000 0.000 0.000
Sc 0.250 0.250 0.250
Co 0.500 0.500 0.500
Co 0.750 0.750 0.750
```

=====

# 8
A relaxed structure of Pu3Tl4InTe8. Source: the Alexandria database, functional PBE. Values from VASP.

The calculation puts the uncorrected formation energy at -0.646 eV/atom.

Structure (Quantum ESPRESSO input):
```
&SYSTEM
  ibrav = 0, nat = 16, ntyp = 4
/
ATOMIC_SPECIES
Pu 244.00 Pu.upf
Tl 204.38 Tl.upf
In 114.82 In.upf
Te 127.60 Te.upf
CELL_PARAMETERS angstrom
4.518 2.609 8.036
-4.518 2.609 8.036
0.000 -5.217 8.036
ATOMIC_POSITIONS crystal
Pu 0.000 0.500 0.500
Pu 0.500 0.000 0.500
Pu 0.500 0.500 0.000
Tl 0.000 0.000 0.500
Tl 0.000 0.500 0.000
Tl 0.500 0.000 0.000
Tl 0.500 0.500 0.500
In 0.000 0.000 0.000
Te 0.236 0.236 0.739
Te 0.236 0.739 0.236
Te 0.261 0.764 0.764
Te 0.262 0.262 0.262
Te 0.738 0.738 0.738
Te 0.739 0.236 0.236
Te 0.764 0.261 0.764
Te 0.764 0.764 0.261
```

=====

# 9
A relaxed structure of YReO2. Source: the Alexandria database, functional PBE. Values from VASP.

The calculation puts the uncorrected formation energy at -0.755 eV/atom.

Structure (Quantum ESPRESSO input):
```
&SYSTEM
  ibrav = 0, nat = 4, ntyp = 3
/
ATOMIC_SPECIES
Y 88.91 Y.upf
Re 186.21 Re.upf
O 16.00 O.upf
CELL_PARAMETERS angstrom
0.000 2.907 2.907
2.907 0.000 2.907
2.907 2.907 0.000
ATOMIC_POSITIONS crystal
Y 0.000 0.000 0.000
Re 0.500 0.500 0.500
O 0.250 0.250 0.250
O 0.750 0.750 0.750
```

=====

# 10
A relaxed structure of NbTeCl2. Source: the Alexandria database, functional PBE. Values from VASP.

The calculation puts the uncorrected formation energy at -0.480 eV/atom.

Structure (Quantum ESPRESSO input):
```
&SYSTEM
  ibrav = 0, nat = 8, ntyp = 3
/
ATOMIC_SPECIES
Nb 92.91 Nb.upf
Te 127.60 Te.upf
Cl 35.45 Cl.upf
CELL_PARAMETERS angstrom
-4.498 4.498 2.710
4.498 -4.498 2.710
4.498 4.498 -2.710
ATOMIC_POSITIONS crystal
Nb 0.000 0.000 0.000
Nb 0.750 0.250 0.500
Te 0.250 0.750 0.500
Te 0.500 0.500 0.000
Cl 0.375 0.240 0.365
Cl 0.760 0.125 0.135
Cl 0.875 0.010 0.635
Cl 0.990 0.625 0.865
```

=====

# 11
A relaxed structure of CeIn7. Source: the Alexandria database, functional PBE. Values from VASP.

The formation energy comes out at -0.137 eV per atom.

Structure (Quantum ESPRESSO input):
```
&SYSTEM
  ibrav = 0, nat = 8, ntyp = 2
/
ATOMIC_SPECIES
Ce 140.12 Ce.upf
In 114.82 In.upf
CELL_PARAMETERS angstrom
-2.413 2.413 9.214
2.413 -2.413 9.214
2.413 2.413 -9.214
ATOMIC_POSITIONS crystal
Ce 0.000 0.000 0.000
In 0.126 0.626 0.500
In 0.244 0.244 0.000
In 0.374 0.874 0.500
In 0.500 0.500 0.000
In 0.626 0.126 0.500
In 0.756 0.756 0.000
In 0.874 0.374 0.500
```

=====

# 12
A relaxed structure of HoGe2. Source: the Alexandria database, functional PBE. Values from VASP.

The formation energy comes out at -0.553 eV per atom.

Structure (Quantum ESPRESSO input):
```
&SYSTEM
  ibrav = 0, nat = 6, ntyp = 2
/
ATOMIC_SPECIES
Ho 164.93 Ho.upf
Ge 72.64 Ge.upf
CELL_PARAMETERS angstrom
5.356 -2.023 0.000
5.356 2.023 0.000
-0.325 0.000 5.934
ATOMIC_POSITIONS crystal
Ho 0.000 0.000 0.000
Ho 0.697 0.697 0.518
Ge 0.330 0.330 0.203
Ge 0.384 0.384 0.677
Ge 0.706 0.706 0.011
Ge 0.998 0.998 0.494
```

=====

Number 1: final energy -35.8 eV for the cell shown. Number 2: final energy -48.6 eV for the cell shown. Number 3: final energy -21.2 eV for the cell shown. Number 4: final energy -21.9 eV for the cell shown. Number 5: final energy -10.4 eV for the cell shown. Number 6: final energy -20.3 eV for the cell shown. Number 7: final energy -21.0 eV for the cell shown. Number 8: final energy -90.7 eV for the cell shown. Number 9: final energy -31.8 eV for the cell shown. Number 10: final energy -37.6 eV for the cell shown. Number 11: final energy -26.2 eV for the cell shown. Number 12: final energy -30.9 eV for the cell shown.